# 1
Computed, not measured: an optimized crystal structure of Ba8ZnPdAu2 at the PBE-GGA level of DFT.

Unit cell a=7.926 b=7.665 c=9.798 alpha=90.00 beta=90.00 gamma=89.56
Positions (direct):
1 Ba 0.680 0.735 0.000
2 Ba 0.670 0.727 0.500
3 Ba 0.320 0.265 0.000
4 Ba 0.173 0.774 0.236
5 Ba 0.827 0.226 0.764
6 Ba 0.173 0.774 0.764
7 Ba 0.330 0.273 0.500
8 Ba 0.827 0.226 0.236
9 Zn 0.000 0.000 0.500
10 Au 0.500 0.500 0.248
11 Au 0.500 0.500 0.752
12 Pd 0.000 0.000 0.000

## Properties
Its total magnetic moment is 0.00 μB per cell. The calculation puts the density at 4.6 g cm⁻³. As for the space group: No. 10. The energy relative to the elements comes out at -0.37 eV/atom.

# 2
Computed, not measured: an optimized crystal structure of ZnCu3Sb4O12 at the PBE-GGA level of DFT.

Unit cell a=6.771 b=6.771 c=6.771 alpha=109.47 beta=109.47 gamma=109.47
Last column: magnetic moment on the atom in μB.
Positions (direct):
1 O 0.174 0.873 0.699  0.01
2 O 0.301 0.826 0.127  0.01
3 O 0.174 0.475 0.301  0.01
4 O 0.525 0.699 0.826  0.01
5 O 0.475 0.301 0.174  0.01
6 O 0.826 0.525 0.699  0.01
7 O 0.127 0.301 0.826  0.01
8 O 0.699 0.174 0.873  0.01
9 O 0.826 0.127 0.301  0.01
10 O 0.873 0.699 0.174  0.01
11 O 0.301 0.174 0.475  0.01
12 O 0.699 0.826 0.525  0.01
13 Cu 0.000 0.500 0.500  0.15
14 Cu 0.500 0.000 0.500  0.15
15 Cu 0.500 0.500 0.000  0.15
16 Zn 0.000 0.000 0.000  0.00
17 Sb 0.000 0.500 0.000  0.00
18 Sb 0.000 0.000 0.500  0.00
19 Sb 0.500 0.000 0.000  0.00
20 Sb 0.500 0.500 0.500  0.00

## Properties
Its total magnetic moment is 0.56 μB per cell. The calculation puts the density at 6.5 g cm⁻³. As for the space group: No. 204. As for the formation energy from raw total energies: -0.97 eV/atom.

# 3
Computed, not measured: an optimized crystal structure of Ti2CdCu at the PBE-GGA level of DFT.

Unit cell a=2.822 b=2.822 c=10.446 alpha=82.24 beta=82.24 gamma=60.00
Positions (direct):
1 Cd 0.000 0.000 0.000
2 Cu 0.500 0.500 0.500
3 Ti 0.903 0.903 0.290
4 Ti 0.097 0.097 0.710

## Properties
Its total magnetic moment is 0.00 μB per cell. The calculation puts the density at 6.3 g cm⁻³. As for the space group: No. 166. The energy relative to the elements comes out at 0.32 eV/atom.

Short version: D(E_F) = 10.11, 9.72, 4.93 states/eV per cell, in the order given.